Record 1
The following is a DFT calculation (PBE) of an optimized crystal structure of Li2W.

a b c (Å): 11.1061 2.5371 7.0398
angles (deg): 90.00 100.22 90.00
Closest atoms and distances in Å follow each position.
Space group C2/m (No. 12)
Inequivalent atoms, fractional coordinates:
Li1 0.0312 0.0000 0.3396 x4  3 Li 2.48-2.54
Li2 0.1331 0.5000 0.0101 x4  2 Li 2.54, 1 W 2.84
W1 0.2157 0.5000 0.6511 x4  4 W 2.54-2.70, 2 Li 2.80-2.84

The total moment is 0.0 μB/f.u. The energy of formation from the pure elements is 491.9 meV/atom.

Record 2
The following is a DFT calculation (PBE) of an optimized crystal structure of HgH4I2N.

a b c (Å): 6.3274 15.5162 7.6611
angles (deg): 90.00 91.49 90.00
Closest atoms and distances in Å follow each position.
Space group C2/c (No. 15)
Inequivalent atoms, fractional coordinates:
Hg1 0.2500 0.2500 0.0000 x4  2 I 3.16, 2 H 3.29
H1 0.0073 0.0661 0.4992 x8  1 N 1.03
H2 0.1807 0.0019 0.0000 x8  1 N 1.14
I1 0.0000 0.5000 0.0000 x4  2 H 2.02
I2 0.2500 0.2500 0.5000 x4  2 Hg 3.16, 2 H 3.24
N1 0.0000 0.0000 0.0000 x4  4 H 1.03-1.14

The total moment is 0.0 μB/f.u. The total energy is -95.4 eV/cell.

Record 3
The following is a DFT calculation (PBE) of an optimized crystal structure of CoGe2B.

a b c (Å): 5.1739 5.1739 9.7599
angles (deg): 90.00 90.00 90.00
Closest atoms and distances in Å follow each position.
Space group I-42d (No. 122)
Inequivalent atoms, fractional coordinates:
Co1 0.0000 0.0000 0.0000 x4  4 Ge 2.32
Ge1 0.2119 0.2500 0.6250 x8  2 B 2.09, 2 Co 2.32
B1 0.0000 0.0000 0.5000 x4  4 Ge 2.09

The total moment is 0.0 μB/f.u. The energy of formation from the pure elements is 560.8 meV/atom.

Record 4
The following is a DFT calculation (PBE) of an optimized crystal structure of Tm3CdRh.

a b c (Å): 15.3626 4.0552 10.1095
angles (deg): 90.00 124.36 90.00
Closest atoms and distances in Å follow each position.
Space group C2/m (No. 12)
Inequivalent atoms, fractional coordinates:
Tm1 0.0902 0.0000 0.4485 x4  3 Rh 2.71-2.97
Tm2 0.1392 0.5000 0.2150 x4  2 Rh 2.75
Tm3 0.1675 0.5000 0.7983 x4  1 Rh 2.79
Cd1 0.0734 0.0000 0.9292 x4  8 Tm 3.17-3.40, 1 Cd 3.28
Rh1 0.2309 0.5000 0.5880 x4  6 Tm 2.71-2.97, 2 Rh 2.97

The total moment is 0.0 μB/f.u. The energy of formation from the pure elements is -467.2 meV/atom.

| no. | DOS(E_F) (states/eV/f.u.) |
| --- | --- |
| 1 | 1.8 |
| 2 | 1.6 |
| 3 | 1.0 |
| 4 | 4.5 |